Material: BaSi3Pd3
Method: DFT, PBE
State: relaxed

Lattice parameters (Å, degrees): 6.738 6.738 6.738 90.00 90.00 90.00
Element x y z (fractional)
1 Ba 0.000 0.000 0.000
2 Ba 0.500 0.500 0.500
3 Si 0.000 0.250 0.500
4 Si 0.000 0.750 0.500
5 Si 0.250 0.500 0.000
6 Si 0.500 0.000 0.250
7 Si 0.500 0.000 0.750
8 Si 0.750 0.500 0.000
9 Pd 0.000 0.500 0.250
10 Pd 0.000 0.500 0.750
11 Pd 0.250 0.000 0.500
12 Pd 0.500 0.250 0.000
13 Pd 0.500 0.750 0.000
14 Pd 0.750 0.000 0.500

Calculated values
Calculated volume = 21.9 Å³ per atom
Relative energy among the computed polymorphs = 0.0000 eV per atom
Uncorrected energy = -37.277 eV/f.u.
Total magnetization = 0.000 μB/f.u.
N(E_F) = 0.562 states/eV per atom